1.
The following is a DFT calculation (PBE+U) of a geometry-optimized KVN2F structure.

Output
Total DFT energy (no corrections), eV per atom: -3.663
Energy relative to the lowest polymorph listed for this composition, eV/atom: 2.289

```
KVN2F
1.0
-3.877 0.569 2.122
1.686 -1.991 3.613
1.426 3.992 1.534
K N F V
1 2 1 1
Cartesian
0.000 0.000 0.000 K
0.843 -0.995 1.807 N
-1.939 0.285 1.061 N
0.713 1.996 0.767 F
-0.383 1.286 3.635 V
```

***

2.
The following is a DFT calculation (PBE+U) of a geometry-optimized KV2NF structure.

Output
Total DFT energy (no corrections), eV per atom: -5.689
Energy relative to the lowest polymorph listed for this composition, eV/atom: 0.000

```
KV2NF
1.0
-3.851 0.492 0.738
-0.232 -6.961 3.427
0.879 1.678 3.468
V K F N
2 1 1 1
Cartesian
0.439 0.839 1.734 V
-1.925 0.246 0.369 V
-1.602 -2.396 3.816 K
-0.116 -3.480 1.713 F
0.000 0.000 0.000 N
```

***

3.
The following is a DFT calculation (PBE+U) of a geometry-optimized KV2NF structure.

Output
Total DFT energy (no corrections), eV per atom: -3.493
Energy relative to the lowest polymorph listed for this composition, eV/atom: 2.195

```
KV2NF
1.0
5.627 0.000 0.000
0.000 4.388 0.000
0.000 0.000 5.627
K N V F
1 1 2 1
Cartesian
0.000 0.000 0.000 K
2.813 2.194 2.813 N
2.813 0.000 0.000 V
0.000 0.000 2.813 V
0.000 2.194 0.000 F
```

***

4.
The following is a DFT calculation (PBE+U) of a geometry-optimized KVN2F structure.

Output
Total DFT energy (no corrections), eV per atom: -5.952
Energy relative to the lowest polymorph listed for this composition, eV/atom: 0.000

```
KVN2F
1.0
3.834 0.000 0.000
0.000 3.834 0.000
0.000 0.000 4.403
V N K F
1 2 1 1
Cartesian
0.000 0.000 0.000 V
0.000 1.917 0.000 N
1.917 0.000 0.000 N
1.917 1.917 2.201 K
0.000 0.000 2.201 F
```

***

5.
The following is a DFT calculation (PBE+U) of a geometry-optimized KVNF2 structure.

Output
Total DFT energy (no corrections), eV per atom: -5.810
Energy relative to the lowest polymorph listed for this composition, eV/atom: 0.000

```
KVNF2
1.0
4.227 0.000 0.000
0.000 4.227 0.000
0.000 0.000 3.777
F V K N
2 1 1 1
Cartesian
0.000 2.113 0.000 F
2.113 0.000 0.000 F
0.000 0.000 0.000 V
2.113 2.113 1.888 K
0.000 0.000 1.888 N
```

***

6.
The following is a DFT calculation (PBE+U) of a geometry-optimized KVNF2 structure.

Output
Total DFT energy (no corrections), eV per atom: -3.940
Energy relative to the lowest polymorph listed for this composition, eV/atom: 1.870

```
KVNF2
1.0
4.579 0.000 0.000
0.000 4.579 0.000
0.000 0.000 4.874
N F V K
1 2 1 1
Cartesian
0.000 0.000 2.437 N
2.290 0.000 0.000 F
0.000 2.290 0.000 F
2.290 2.290 2.437 V
0.000 0.000 0.000 K
```

***

In order of appearance, magnetization = 0.205; 1.088; 1.378; 0.080; 0.200; 1.000 μB/atom.
In order of appearance, density of states at the Fermi level = 0.689; 0.240; 0.603; 0.233; 0.150; 0.654 states/eV per atom.
In order of appearance, calculated density = 2.54; 2.38; 2.08; 3.52; 3.50; 2.31 g cm⁻³.